--- P ---
# AsPtCl2

AsPtCl2 at its PBEsol-relaxed geometry (meta-GGA SCAN, Alexandria via LeMat-Bulk).

space-group type: Cm, No. 8

Lattice parameters (Å, degrees): 3.677 3.803 7.813 87.00 90.00 118.91
Positions (direct):
Cl (0.116, 0.232, 0.048)
Cl (0.856, 0.712, 0.669)
As (0.102, 0.203, 0.325)
Pt (0.427, 0.853, 0.458)

---

--- Q ---
# AsPtCl2

AsPtCl2 at its PBEsol-relaxed geometry (meta-GGA SCAN, Alexandria via LeMat-Bulk).

space-group type: Cmmm, No. 65

Lattice parameters (Å, degrees): 2.940 4.944 4.944 106.05 90.00 90.00
Positions (direct):
Cl (0.000, 0.500, 0.000)
Cl (0.000, 0.000, 0.500)
As (0.500, 0.500, 0.500)
Pt (0.500, 0.000, 0.000)

---

Which is most stable, and by how much? P, by 1351 meV/atom.

---

--- P ---
# AsPt2Cl

AsPt2Cl at its PBEsol-relaxed geometry (meta-GGA SCAN, Alexandria via LeMat-Bulk).

space-group type: Cmmm, No. 65

Lattice parameters (Å, degrees): 4.515 3.210 6.434 90.00 90.00 134.69
Positions (direct):
Pt (0.000, 0.000, 0.286)
Pt (0.000, 0.000, 0.714)
As (0.500, 0.000, 0.500)
Cl (0.500, 0.000, 0.000)

---

--- Q ---
# AsPt2Cl

AsPt2Cl at its PBEsol-relaxed geometry (meta-GGA SCAN, Alexandria via LeMat-Bulk).

space-group type: Immm, No. 71

Lattice parameters (Å, degrees): 3.107 5.171 5.171 69.55 72.51 72.51
Positions (direct):
Pt (0.271, 0.729, 0.729)
Pt (0.729, 0.271, 0.271)
Cl (0.500, 0.000, 0.000)
As (0.000, 0.500, 0.500)

---

Which is most stable, and by how much? P, by 9 meV/atom.

---

--- P ---
# Rb2ScAsCl

Rb2ScAsCl at its PBEsol-relaxed geometry (meta-GGA SCAN, Alexandria via LeMat-Bulk).

space-group type: P4/mmm, No. 123

Lattice parameters (Å, degrees): 5.009 6.658 6.658 90.00 90.00 90.00
Site moments in Bohr magnetons follow the coordinates.
Positions (direct):
As (0.000, 0.000, 0.000)  -0.02
Rb (0.000, 0.500, 0.000)  0.01
Rb (0.000, 0.000, 0.500)  0.01
Sc (0.500, 0.000, 0.000)  0.49
Cl (0.500, 0.500, 0.500)  0.02

---

--- Q ---
# Rb2ScAsCl

Rb2ScAsCl at its PBEsol-relaxed geometry (meta-GGA SCAN, Alexandria via LeMat-Bulk).

space-group type: P4/mmm, No. 123

Lattice parameters (Å, degrees): 5.024 5.780 5.780 90.00 90.00 90.00
Site moments in Bohr magnetons follow the coordinates.
Positions (direct):
Cl (0.000, 0.000, 0.000)  -0.02
Rb (0.000, 0.500, 0.000)  0.01
Rb (0.000, 0.000, 0.500)  0.01
As (0.500, 0.500, 0.500)  -0.24
Sc (0.500, 0.000, 0.000)  0.94

---

Which is most stable, and by how much? P, by 369 meV/atom.

---

--- P ---
# As2RhCl

As2RhCl at its PBEsol-relaxed geometry (meta-GGA SCAN, Alexandria via LeMat-Bulk).

space-group type: Fm-3m, No. 225

Lattice parameters (Å, degrees): 4.484 4.484 4.484 60.00 60.00 60.00
Positions (direct):
As (0.250, 0.250, 0.250)
As (0.750, 0.750, 0.750)
Rh (0.500, 0.500, 0.500)
Cl (0.000, 0.000, 0.000)

---

--- Q ---
# As2RhCl

As2RhCl at its PBEsol-relaxed geometry (meta-GGA SCAN, Alexandria via LeMat-Bulk).

space-group type: I4/mmm, No. 139

Lattice parameters (Å, degrees): 4.465 4.465 4.465 107.34 110.55 110.55
Positions (direct):
Cl (0.000, 0.000, 0.000)
Rh (0.000, 0.500, 0.500)
As (0.500, 0.500, 0.000)
As (0.500, 0.000, 0.500)

---

Which is most stable, and by how much? Q, by 206 meV/atom.

---

--- P ---
# SbAs2Cl

SbAs2Cl at its PBEsol-relaxed geometry (meta-GGA SCAN, Alexandria via LeMat-Bulk).

space-group type: P2/m, No. 10

Lattice parameters (Å, degrees): 3.699 5.231 5.400 90.00 110.82 90.00
Positions (direct):
As (0.156, 0.000, 0.333)
As (0.844, 0.000, 0.667)
Sb (0.500, 0.500, 0.500)
Cl (0.500, 0.500, 0.000)

---

--- Q ---
# SbAs2Cl

SbAs2Cl at its PBEsol-relaxed geometry (meta-GGA SCAN, Alexandria via LeMat-Bulk).

space-group type: R-3m, No. 166

Lattice parameters (Å, degrees): 4.046 4.046 6.881 72.90 72.90 60.00
Positions (direct):
As (0.254, 0.254, 0.237)
As (0.746, 0.746, 0.763)
Cl (0.500, 0.500, 0.500)
Sb (0.000, 0.000, 0.000)

---

--- R ---
# SbAs2Cl

SbAs2Cl at its PBEsol-relaxed geometry (meta-GGA SCAN, Alexandria via LeMat-Bulk).

space-group type: P4/mmm, No. 123

Lattice parameters (Å, degrees): 3.595 3.595 6.829 90.00 90.00 90.00
Positions (direct):
Cl (0.500, 0.500, 0.000)
As (0.000, 0.000, 0.296)
As (0.000, 0.000, 0.704)
Sb (0.500, 0.500, 0.500)

---

Which is most stable, and by how much? P, by 225 meV/atom.

---

--- P ---
# TlAs2SeCl

TlAs2SeCl at its PBEsol-relaxed geometry (meta-GGA SCAN, Alexandria via LeMat-Bulk).

space-group type: P4/mmm, No. 123

Lattice parameters (Å, degrees): 5.210 5.322 5.322 90.00 90.00 90.00
Site moments in Bohr magnetons follow the coordinates.
Positions (direct):
As (0.000, 0.500, 0.000)  0.29
As (0.000, 0.000, 0.500)  0.29
Cl (0.500, 0.500, 0.500)  0.06
Se (0.500, 0.000, 0.000)  -0.24
Tl (0.000, 0.000, 0.000)  -0.01

---

--- Q ---
# TlAs2SeCl

TlAs2SeCl at its PBEsol-relaxed geometry (meta-GGA SCAN, Alexandria via LeMat-Bulk).

space-group type: P4/mmm, No. 123

Lattice parameters (Å, degrees): 4.984 4.984 4.948 90.00 90.00 90.00
Positions (direct):
As (0.500, 0.000, 0.000)
As (0.000, 0.500, 0.000)
Tl (0.500, 0.500, 0.500)
Se (0.000, 0.000, 0.500)
Cl (0.000, 0.000, 0.000)

---

Which is most stable, and by how much? Q, by 165 meV/atom.